Density functional theory data (PBE-GGA) for a relaxed structure of K2Sn2Hg.

Lattice parameters (Å, degrees): 10.227 10.227 3.705 90.00 90.00 90.00
Element x y z (fractional)
K  0.199  0.301  0.000
K  0.301  0.801  0.000
K  0.699  0.199  0.000
K  0.801  0.699  0.000
Sn  0.095  0.595  0.500
Sn  0.405  0.095  0.500
Sn  0.595  0.905  0.500
Sn  0.905  0.405  0.500
Hg  0.000  0.000  0.500
Hg  0.500  0.500  0.500

Values from the calculation:
Relative energy among the computed polymorphs (meV/atom): 105
M_tot (Bohr magnetons per cell): 0.00
SG: P4/mbm, No. 127

---

Density functional theory data (PBE-GGA) for a relaxed structure of K8SnHg2.

Lattice parameters (Å, degrees): 10.468 10.468 10.468 146.38 125.14 65.90
Element x y z (fractional)
K  0.120  0.346  0.773
K  0.141  0.141  0.000
K  0.292  0.000  0.292
K  0.427  0.654  0.773
K  0.573  0.346  0.227
K  0.708  0.000  0.708
K  0.859  0.859  0.000
K  0.880  0.654  0.227
Sn  0.000  0.500  0.500
Hg  0.310  0.810  0.500
Hg  0.690  0.190  0.500

Values from the calculation:
M_tot (Bohr magnetons per cell): 0.00
SG: Immm, No. 71

---

no.,formation energy (kJ/mol of atoms)
1,-8
2,-9